Ag2Sb2Te3 | PBE | optimized geometry

Structure (CIF):
```
data_Ag2Sb2Te3
_chemical_formula_sum 'Ag4 Sb4 Te6'
_space_group_name_H-M_alt 'C 1 2/m 1'
_space_group_IT_number 12
_cell_length_a 13.045
_cell_length_b 4.134
_cell_length_c 7.701
_cell_angle_alpha 90.00
_cell_angle_beta 102.65
_cell_angle_gamma 90.00
loop_
_space_group_symop_operation_xyz
'x,y,z'
'-x,-y,-z'
'-x,y,-z'
'x,-y,z'
'x+1/2,y+1/2,z'
'-x+1/2,-y+1/2,-z'
'-x+1/2,y+1/2,-z'
'x+1/2,-y+1/2,z'
loop_
_atom_site_label
_atom_site_type_symbol
_atom_site_fract_x
_atom_site_fract_y
_atom_site_fract_z
Ag1 Ag 0.066 0.000 0.172
Sb1 Sb 0.108 0.500 0.855
Te1 Te 0.000 0.000 0.500
Te2 Te 0.229 0.500 0.228
```

Calculated values
Its crystal system is monoclinic. Its volume is 28.95 Å³ per atom. The calculation puts the total moment at 0.0 μB per formula unit. The calculation puts the uncorrected energy at -3.288 eV/atom. The raw formation energy comes out at 51 meV per atom.